[1]
Density functional theory data (PBE+U) for a geometry-optimized Pr3Al2VO9 structure.

a = 5.415 Å, b = 5.415 Å, c = 6.699 Å
α = 90.00°, β = 90.00°, γ = 120.00°
Fractional coordinates of all 15 atoms:
Pr (0.000, 0.000, 0.000)
Pr (0.333, 0.667, 0.671)
Pr (0.667, 0.333, 0.329)
Al (0.333, 0.667, 0.162)
Al (0.667, 0.333, 0.838)
V (0.000, 0.000, 0.500)
O (0.000, 0.500, 0.000)
O (0.171, 0.341, 0.324)
O (0.171, 0.829, 0.324)
O (0.341, 0.171, 0.676)
O (0.500, 0.000, 0.000)
O (0.500, 0.500, 0.000)
O (0.659, 0.829, 0.324)
O (0.829, 0.171, 0.676)
O (0.829, 0.659, 0.676)

Properties
Space-group type ... P-3m1
Total energy ... -119.3 eV/cell
Crystal system ... trigonal

---

[2]
Density functional theory data (PBE+U) for a geometry-optimized PrAlVO6 structure.

a = 5.034 Å, b = 5.034 Å, c = 5.127 Å
α = 90.00°, β = 90.00°, γ = 120.00°
Fractional coordinates of all 9 atoms:
Pr (0.000, 0.000, 0.000)
Al (0.333, 0.667, 0.500)
V (0.667, 0.333, 0.500)
O (0.377, 0.002, 0.706)
O (0.377, 0.375, 0.294)
O (0.625, 0.002, 0.294)
O (0.625, 0.623, 0.706)
O (0.998, 0.375, 0.706)
O (0.998, 0.623, 0.294)

Properties
Space-group type ... P312
Total energy ... -67.3 eV/cell
Crystal system ... trigonal
DOS at the Fermi energy ... 0.720 states/eV per atom